Record 1
An optimized crystal structure of H6PtCl. Source: the Alexandria database, functional PBE-GGA.

abc: 16.564 6.671 5.210
angles: 142.79 28.24 158.42
Fractional coordinates of all 8 atoms:
1 Cl 0.996 0.671 0.603
2 H 0.338 0.587 0.325
3 H 0.584 0.619 0.365
4 H 0.351 0.808 0.515
5 H 0.790 0.345 0.317
6 H 0.344 0.630 0.887
7 H 0.500 0.274 0.169
8 Pt 0.596 0.067 0.819

Output
As for the space group: P1. As for the total energy: -3.54 eV per atom.

=====

Record 2
An optimized crystal structure of HPtCl. Source: the Alexandria database, functional PBE-GGA.

abc: 5.535 6.179 9.276
angles: 82.55 65.78 85.85
Fractional coordinates of all 18 atoms:
1 Pt 0.013 0.720 0.330
2 Pt 0.485 0.186 0.382
3 Pt 0.500 0.500 0.000
4 Pt 0.987 0.280 0.670
5 Pt 0.000 0.000 0.000
6 Pt 0.515 0.814 0.618
7 H 0.915 0.815 0.184
8 H 0.726 0.401 0.816
9 H 0.699 0.908 0.432
10 H 0.301 0.092 0.568
11 H 0.274 0.599 0.184
12 H 0.085 0.185 0.816
13 Cl 0.220 0.686 0.893
14 Cl 0.211 0.619 0.552
15 Cl 0.780 0.314 0.107
16 Cl 0.740 0.961 0.749
17 Cl 0.789 0.381 0.448
18 Cl 0.260 0.039 0.251

Output
As for the space group: P-1. As for the energy above the most stable polymorph in this dataset: 224.3 meV/atom. As for the total energy: -3.72 eV per atom.

=====

Record 3
An optimized crystal structure of H3PtCl. Source: the Alexandria database, functional PBE-GGA.

abc: 6.405 5.364 5.363
angles: 59.55 67.87 67.87
Fractional coordinates of all 10 atoms:
1 H 0.114 0.843 0.391
2 H 0.114 0.495 0.739
3 H 0.926 0.559 0.108
4 H 0.762 0.806 0.702
5 H 0.926 0.211 0.455
6 H 0.279 0.248 0.145
7 Pt 0.977 0.842 0.738
8 Pt 0.064 0.212 0.108
9 Cl 0.313 0.919 0.815
10 Cl 0.727 0.135 0.031

Output
As for the space group: C2/m. As for the energy above the most stable polymorph in this dataset: 0.0 meV/atom. As for the total energy: -3.75 eV per atom.

=====

Record 4
An optimized crystal structure of HPtCl. Source: the Alexandria database, functional PBE-GGA.

abc: 8.585 3.620 6.149
angles: 90.00 90.00 90.00
Fractional coordinates of all 12 atoms:
1 Cl 0.288 0.250 0.139
2 Cl 0.212 0.750 0.639
3 Cl 0.712 0.750 0.861
4 Cl 0.788 0.250 0.361
5 Pt 0.397 0.250 0.540
6 Pt 0.897 0.250 0.960
7 Pt 0.103 0.750 0.040
8 Pt 0.603 0.750 0.460
9 H 0.530 0.750 0.232
10 H 0.470 0.250 0.768
11 H 0.970 0.250 0.732
12 H 0.030 0.750 0.268

Output
As for the space group: Pnma. As for the energy above the most stable polymorph in this dataset: 0.0 meV/atom. As for the total energy: -3.95 eV per atom.